Record 1
VASP calculation (PBE) on crystalline BaSc2Cu at its relaxed geometry.

Results
Relative energy among the computed polymorphs   76 meV per atom
VASP energy   -4.497 eV/atom
Energy of formation   0.173 eV/atom
Space group   No. 71

a = 6.5867 Å, b = 6.5867 Å, c = 6.5867 Å
α = 149.98°, β = 129.88°, γ = 59.54°
Last column: nearest neighbours and their distance in Å.
Atoms (fractional coordinates):
Ba: 0.0000 0.0000 0.0000  4 Cu 3.27, 2 Ba 3.41, 4 Sc 3.59
Sc: 0.3022 0.8022 0.5000  2 Cu 2.83
Sc: 0.6978 0.1978 0.5000  2 Cu 2.83
Cu: 0.5000 0.5000 0.0000  4 Sc 2.83

***

Record 2
VASP calculation (PBE) on crystalline La2Sc at its relaxed geometry.

Results
Relative energy among the computed polymorphs   460 meV per atom
VASP energy   -4.884 eV/atom
Energy of formation   0.512 eV/atom
Space group   No. 205

a = 7.5234 Å, b = 7.5234 Å, c = 7.5234 Å
α = 90.00°, β = 90.00°, γ = 90.00°
Last column: nearest neighbours and their distance in Å.
Atoms (fractional coordinates):
La: 0.1656 0.1656 0.1656  3 Sc 3.07
La: 0.1656 0.3344 0.6656  3 Sc 3.07
La: 0.3344 0.6656 0.1656  3 Sc 3.07
La: 0.3344 0.8344 0.6656  3 Sc 3.07
La: 0.6656 0.1656 0.3344  3 Sc 3.07
La: 0.6656 0.3344 0.8344  3 Sc 3.07
La: 0.8344 0.6656 0.3344  3 Sc 3.07
La: 0.8344 0.8344 0.8344  3 Sc 3.07
Sc: 0.0000 0.0000 0.5000  6 La 3.07
Sc: 0.0000 0.5000 0.0000  6 La 3.07
Sc: 0.5000 0.0000 0.0000  6 La 3.07
Sc: 0.5000 0.5000 0.5000  6 La 3.07

***

Record 3
VASP calculation (PBE) on crystalline Ac4PmY5 at its relaxed geometry.

Results
VASP energy   -5.306 eV/atom
Energy of formation   0.045 eV/atom
Space group   No. 123

a = 3.8340 Å, b = 3.8340 Å, c = 25.2419 Å
α = 90.00°, β = 90.00°, γ = 90.00°
Last column: nearest neighbours and their distance in Å.
Atoms (fractional coordinates):
Ac: 0.0000 0.0000 0.1014  8 Y 3.73, 4 Ac 3.83
Ac: 0.0000 0.0000 0.3044  8 Y 3.73-3.75, 4 Ac 3.83
Ac: 0.0000 0.0000 0.6956  8 Y 3.73-3.75, 4 Ac 3.83
Ac: 0.0000 0.0000 0.8986  8 Y 3.73, 4 Ac 3.83
Pm: 0.0000 0.0000 0.5000  8 Y 3.59, 4 Pm 3.83
Y: 0.5000 0.5000 0.0000  8 Ac 3.73, 4 Y 3.83
Y: 0.5000 0.5000 0.2031  8 Ac 3.73, 4 Y 3.83
Y: 0.5000 0.5000 0.4071  4 Pm 3.59, 4 Ac 3.75, 4 Y 3.83
Y: 0.5000 0.5000 0.5929  4 Pm 3.59, 4 Ac 3.75, 4 Y 3.83
Y: 0.5000 0.5000 0.7969  8 Ac 3.73, 4 Y 3.83

***

Record 4
VASP calculation (PBE) on crystalline Ho2NiIr at its relaxed geometry.

Results
VASP energy   -6.603 eV/atom
Energy of formation   -0.654 eV/atom
Space group   No. 123

a = 4.7650 Å, b = 4.7650 Å, c = 3.4378 Å
α = 90.00°, β = 90.00°, γ = 90.00°
Last column: nearest neighbours and their distance in Å.
Atoms (fractional coordinates):
Ho: 0.0000 0.5000 0.0000  4 Ir 2.94, 4 Ni 2.94
Ho: 0.5000 0.0000 0.0000  4 Ir 2.94, 4 Ni 2.94
Ni: 0.0000 0.0000 0.5000  8 Ho 2.94
Ir: 0.5000 0.5000 0.5000  8 Ho 2.94

***

Record 5
VASP calculation (PBE) on crystalline Li2LaMn at its relaxed geometry.

Results
Relative energy among the computed polymorphs   178 meV per atom
VASP energy   -4.063 eV/atom
Energy of formation   0.419 eV/atom
Space group   No. 65

a = 3.0867 Å, b = 3.0867 Å, c = 10.4492 Å
α = 90.00°, β = 90.00°, γ = 114.28°
Last column: nearest neighbours and their distance in Å.
Atoms (fractional coordinates):
Li: 0.0000 0.0000 0.2136  2 Mn 2.79, 4 Li 3.09
Li: 0.0000 0.0000 0.7864  2 Mn 2.79, 4 Li 3.09
La: 0.5000 0.5000 0.5000  6 La 3.09-3.35, 4 Li 3.43
Mn: 0.5000 0.5000 0.0000  4 Li 2.79, 4 Mn 3.09

***

Record 6
VASP calculation (PBE) on crystalline Li3Ac3Au8 at its relaxed geometry.

Results
VASP energy   -3.847 eV/atom
Energy of formation   -0.684 eV/atom
Space group   No. 71

a = 8.9253 Å, b = 8.9253 Å, c = 8.9253 Å
α = 149.55°, β = 115.20°, γ = 73.26°
Last column: nearest neighbours and their distance in Å.
Atoms (fractional coordinates):
Li: 0.0000 0.0000 0.0000  4 Au 2.54
Li: 0.1927 0.5000 0.6927  6 Au 2.66-2.91, 2 Li 2.98
Li: 0.8073 0.5000 0.3073  6 Au 2.66-2.91, 2 Li 2.98
Ac: 0.2158 0.7158 0.5000  10 Au 3.30-3.49, 2 Li 3.60
Ac: 0.5000 0.0000 0.5000  12 Au 3.38-3.50, 4 Li 3.76
Ac: 0.7842 0.2842 0.5000  10 Au 3.30-3.49, 2 Li 3.60
Au: 0.0753 0.8800 0.1953  1 Li 2.54, 2 Au 2.82
Au: 0.2002 0.3477 0.8525  1 Li 2.66, 3 Au 2.82
Au: 0.3153 0.1200 0.1953  1 Li 2.54, 2 Au 2.82
Au: 0.4951 0.3477 0.1475  1 Li 2.66, 3 Au 2.82
Au: 0.5049 0.6523 0.8525  1 Li 2.66, 3 Au 2.82
Au: 0.6847 0.8800 0.8047  1 Li 2.54, 2 Au 2.82
Au: 0.7998 0.6523 0.1475  1 Li 2.66, 3 Au 2.82
Au: 0.9247 0.1200 0.8047  1 Li 2.54, 2 Au 2.82

***

Record 7
VASP calculation (PBE) on crystalline EuLuAl4 at its relaxed geometry.

Results
VASP energy   -5.374 eV/atom
Energy of formation   -0.413 eV/atom
Space group   No. 216

a = 5.5905 Å, b = 5.5905 Å, c = 5.5905 Å
α = 60.00°, β = 60.00°, γ = 60.00°
Last column: nearest neighbours and their distance in Å.
Atoms (fractional coordinates):
Eu: 0.0000 0.0000 0.0000  12 Al 3.28, 4 Lu 3.42
Lu: 0.7500 0.7500 0.7500  12 Al 3.28, 4 Eu 3.42
Al: 0.3751 0.3751 0.3751  6 Al 2.79-2.80
Al: 0.3751 0.3751 0.8746  6 Al 2.79-2.80
Al: 0.3751 0.8746 0.3751  6 Al 2.79-2.80
Al: 0.8746 0.3751 0.3751  6 Al 2.79-2.80

***

Record 8
VASP calculation (PBE) on crystalline CaTm5Al3 at its relaxed geometry.

Results
VASP energy   -4.211 eV/atom
Energy of formation   -0.257 eV/atom
Space group   No. 193

a = 8.9993 Å, b = 8.9993 Å, c = 6.5819 Å
α = 90.00°, β = 90.00°, γ = 120.00°
Last column: nearest neighbours and their distance in Å.
Atoms (fractional coordinates):
Ca: 0.0000 0.0000 0.0000  2 Ca 3.29, 6 Tm 3.42, 6 Al 3.46
Ca: 0.0000 0.0000 0.5000  2 Ca 3.29, 6 Tm 3.42, 6 Al 3.46
Tm: 0.0000 0.3326 0.2500  5 Al 2.96-3.29
Tm: 0.0000 0.6674 0.7500  5 Al 2.96-3.29
Tm: 0.3326 0.0000 0.2500  5 Al 2.96-3.29
Tm: 0.3326 0.3326 0.7500  5 Al 2.96-3.29
Tm: 0.3333 0.6667 0.0000  8 Tm 3.29-3.42, 6 Al 3.40
Tm: 0.3333 0.6667 0.5000  8 Tm 3.29-3.42, 6 Al 3.40
Tm: 0.6674 0.0000 0.7500  5 Al 2.96-3.29
Tm: 0.6667 0.3333 0.0000  8 Tm 3.29-3.42, 6 Al 3.40
Tm: 0.6667 0.3333 0.5000  8 Tm 3.29-3.42, 6 Al 3.40
Tm: 0.6674 0.6674 0.2500  5 Al 2.96-3.29
Al: 0.0000 0.3382 0.7500  5 Tm 2.96-3.29
Al: 0.0000 0.6618 0.2500  5 Tm 2.96-3.29
Al: 0.3382 0.0000 0.7500  5 Tm 2.96-3.29
Al: 0.3382 0.3382 0.2500  5 Tm 2.96-3.29
Al: 0.6618 0.0000 0.2500  5 Tm 2.96-3.29
Al: 0.6618 0.6618 0.7500  5 Tm 2.96-3.29

***

> What is the formula in the second record?

La2Sc